1.
# InSe3 PBEsol relaxed
data_InSe3
_chemical_formula_sum 'In1 Se3'
_space_group_name_H-M_alt 'P m m 2'
_space_group_IT_number 25
_cell_length_a 3.6831
_cell_length_b 3.7582
_cell_length_c 7.0748
_cell_angle_alpha 90.00
_cell_angle_beta 90.00
_cell_angle_gamma 90.00
loop_
_space_group_symop_operation_xyz
'x,y,z'
'-x,-y,z'
'-x,y,z'
'x,-y,z'
loop_
_atom_site_label
_atom_site_fract_x
_atom_site_fract_y
_atom_site_fract_z
_atom_site_occupancy
In1 0.0000 0.0000 0.0000 1
Se1 0.0000 0.5000 0.4108 1
Se2 0.5000 0.0000 0.3529 1
Se3 0.5000 0.5000 0.8731 1
# Calculated volume in Å³ per atom: 24.5
# Formation energy from raw total energies in eV/f.u.: -0.42

2.
# In2Se3 PBEsol relaxed
data_In2Se3
_chemical_formula_sum 'In12 Se18'
_space_group_name_H-M_alt 'P 61'
_space_group_IT_number 169
_cell_length_a 7.1321
_cell_length_b 7.1321
_cell_length_c 19.3106
_cell_angle_alpha 90.00
_cell_angle_beta 90.00
_cell_angle_gamma 120.00
loop_
_space_group_symop_operation_xyz
'x,y,z'
'x-y,x,z+1/6'
'-y,x-y,z+1/3'
'-x,-y,z+1/2'
'-x+y,-x,z+2/3'
'y,-x+y,z+5/6'
loop_
_atom_site_label
_atom_site_fract_x
_atom_site_fract_y
_atom_site_fract_z
_atom_site_occupancy
In1 0.0103 0.3116 0.0000 1
In2 0.0174 0.6724 0.1399 1
Se1 0.0299 0.6587 0.3518 1
Se2 0.0488 0.7014 0.0036 1
Se3 0.0805 0.3463 0.1459 1
# Calculated volume in Å³ per atom: 28.4
# Formation energy from raw total energies in eV/f.u.: -2.47